Compound: TeSeN3
Source: Alexandria via LeMat-Bulk
Functional: PBEsol
Structure: optimized geometry

```
data_TeSeN3
_space_group_name_H-M_alt 'P 1'
_space_group_IT_number 1
_cell_length_a 3.841
_cell_length_b 3.841
_cell_length_c 3.841
_cell_angle_alpha 90.00
_cell_angle_beta 90.00
_cell_angle_gamma 90.00
loop_
_space_group_symop_operation_xyz
'x,y,z'
loop_
_atom_site_label
_atom_site_type_symbol
_atom_site_fract_x
_atom_site_fract_y
_atom_site_fract_z
Te1 Te 0.000 0.000 0.000
Se1 Se 0.500 0.500 0.500
N1 N 0.000 0.500 0.500
N2 N 0.500 0.000 0.500
N3 N 0.500 0.500 0.000
```

## Properties
**Crystal system**: cubic
**Formation energy from raw total energies**: 1.61 eV per atom
**M_tot**: 0.00 Bohr magnetons per cell
**N(E_F)**: 0.478 states/eV per atom